The following is a PBE-GGA calculation of an optimized crystal structure of BeHg2Te, from Alexandria via LeMat-Bulk.

Computed properties:
Raw total energy in eV/atom: -1.334
Energy above the most stable polymorph in this dataset in kJ per mole of atoms: 54.8
Uncorrected formation energy in eV/atom: 0.53

```
data_BeHg2Te
_space_group_name_H-M_alt 'P 4/m m m'
_space_group_IT_number 123
_space_group_name_Hall '-P 4 2'
_cell_length_a 4.2983
_cell_length_b 4.2983
_cell_length_c 5.4199
_cell_angle_alpha 90.00
_cell_angle_beta 90.00
_cell_angle_gamma 90.00
loop_
_atom_site_label
_atom_site_type_symbol
_atom_site_fract_x
_atom_site_fract_y
_atom_site_fract_z
_atom_site_occupancy
Be1 Be 0.0000 0.0000 0.0000 1
Hg1 Hg 0.5000 0.5000 0.2459 1
Te1 Te 0.0000 0.0000 0.5000 1
```

=====

The following is a PBE-GGA calculation of an optimized crystal structure of Cs3K3ZnCl8, from Alexandria via LeMat-Bulk.

Computed properties:
Raw total energy in eV/atom: -3.225
Uncorrected formation energy in eV/atom: -1.76

```
data_Cs3K3ZnCl8
_space_group_name_H-M_alt 'R -3 m'
_space_group_IT_number 166
_space_group_name_Hall '-R 3 2"'
_cell_length_a 9.0756
_cell_length_b 9.0756
_cell_length_c 23.6366
_cell_angle_alpha 90.00
_cell_angle_beta 90.00
_cell_angle_gamma 120.00
loop_
_atom_site_label
_atom_site_type_symbol
_atom_site_fract_x
_atom_site_fract_y
_atom_site_fract_z
_atom_site_occupancy
Cs1 Cs 0.0000 0.5000 0.0000 1
K1 K 0.0000 0.5000 0.5000 1
Zn1 Zn 0.0000 0.0000 0.5000 1
Cl1 Cl 0.0000 0.0000 0.2403 1
Cl2 Cl 0.0627 0.5313 0.2275 1
```

=====

What is the uncorrected formation energy in the first record?
0.53 eV/atom